No. 1
ZrZnPd2: relaxed, GGA-PBE.

Values from the calculation:
Energy of formation from the pure elements (eV/atom): -0.06
V (Å³/atom): 18.03
DFT total energy (eV/atom): -5.1130

Structure (CIF):
```
data_ZrZnPd2
_space_group_name_H-M_alt 'P 1'
_space_group_IT_number 1
_space_group_name_Hall 'P 1'
_cell_length_a 5.8584
_cell_length_b 5.8584
_cell_length_c 5.8584
_cell_angle_alpha 58.31
_cell_angle_beta 151.85
_cell_angle_gamma 130.05
loop_
_atom_site_label
_atom_site_fract_x
_atom_site_fract_y
_atom_site_fract_z
Zn1 0.0000 0.0000 0.0000
Zr1 0.0000 0.5000 0.5000
Pd1 0.0000 0.2462 0.2462
Pd2 0.0000 0.7538 0.7538
```


No. 2
Zr2ZnPd: relaxed, GGA-PBE.

Values from the calculation:
Energy of formation from the pure elements (eV/atom): -0.43
V (Å³/atom): 18.76
DFT total energy (eV/atom): -6.3162

Structure (CIF):
```
data_Zr2ZnPd
_space_group_name_H-M_alt 'P 1'
_space_group_IT_number 1
_space_group_name_Hall 'P 1'
_cell_length_a 3.4045
_cell_length_b 3.4045
_cell_length_c 6.4749
_cell_angle_alpha 90.00
_cell_angle_beta 90.00
_cell_angle_gamma 90.00
loop_
_atom_site_label
_atom_site_fract_x
_atom_site_fract_y
_atom_site_fract_z
Zn1 0.5000 0.5000 0.5000
Zr1 0.0000 0.0000 0.2520
Pd1 0.5000 0.5000 0.0000
Zr2 0.0000 0.0000 0.7480
```


No. 3
Zr5ZnPd4: relaxed, GGA-PBE.

Values from the calculation:
Energy of formation from the pure elements (eV/atom): -0.52
V (Å³/atom): 18.81
DFT total energy (eV/atom): -7.0024

Structure (CIF):
```
data_Zr5ZnPd4
_space_group_name_H-M_alt 'P 1'
_space_group_IT_number 1
_space_group_name_Hall 'P 1'
_cell_length_a 3.4798
_cell_length_b 3.4798
_cell_length_c 15.5322
_cell_angle_alpha 90.00
_cell_angle_beta 90.00
_cell_angle_gamma 90.00
loop_
_atom_site_label
_atom_site_fract_x
_atom_site_fract_y
_atom_site_fract_z
Pd1 0.0000 0.0000 0.1991
Zr1 0.5000 0.5000 0.5000
Pd2 0.0000 0.0000 0.6011
Pd3 0.0000 0.0000 0.3989
Zr2 0.5000 0.5000 0.3020
Pd4 0.0000 0.0000 0.8009
Zr3 0.5000 0.5000 0.1004
Zn1 0.0000 0.0000 0.0000
Zr4 0.5000 0.5000 0.8996
Zr5 0.5000 0.5000 0.6980
```


No. 4
Zr4ZnPd: relaxed, GGA-PBE.

Values from the calculation:
Energy relative to the lowest polymorph listed for this composition (kJ/mol of atoms): 35.0
Energy of formation from the pure elements (eV/atom): 0.05
V (Å³/atom): 22.71
DFT total energy (eV/atom): -6.7250

Structure (CIF):
```
data_Zr4ZnPd
_space_group_name_H-M_alt 'P 1'
_space_group_IT_number 1
_space_group_name_Hall 'P 1'
_cell_length_a 4.5587
_cell_length_b 4.5589
_cell_length_c 6.5558
_cell_angle_alpha 89.99
_cell_angle_beta 89.99
_cell_angle_gamma 90.00
loop_
_atom_site_label
_atom_site_fract_x
_atom_site_fract_y
_atom_site_fract_z
Zr1 0.0014 0.4974 0.7500
Zr2 0.0012 0.4972 0.2463
Zn1 0.5013 0.4974 0.9982
Zr3 0.5013 0.9972 0.2463
Pd1 0.0013 0.9972 0.4981
Zr4 0.5014 0.9974 0.7500
```


No. 5
Zr3Zn3Pd: relaxed, GGA-PBE.

Values from the calculation:
Energy of formation from the pure elements (eV/atom): -0.33
V (Å³/atom): 18.38
DFT total energy (eV/atom): -5.2841

Structure (CIF):
```
data_Zr3Zn3Pd
_space_group_name_H-M_alt 'P 1'
_space_group_IT_number 1
_space_group_name_Hall 'P 1'
_cell_length_a 4.3100
_cell_length_b 3.1515
_cell_length_c 9.8414
_cell_angle_alpha 99.21
_cell_angle_beta 102.65
_cell_angle_gamma 90.00
loop_
_atom_site_label
_atom_site_fract_x
_atom_site_fract_y
_atom_site_fract_z
Zr1 0.7025 0.2025 0.4050
Zr2 0.9985 0.9985 0.9969
Pd1 0.4332 0.4332 0.8664
Zn1 0.1408 0.6408 0.2816
Zn2 0.5694 0.5694 0.1387
Zr3 0.2987 0.7987 0.5973
Zn3 0.8570 0.3570 0.7139
```


No. 6
Zr3Zn2Pd4: relaxed, GGA-PBE.

Values from the calculation:
Energy relative to the lowest polymorph listed for this composition (kJ/mol of atoms): 1.4
Energy of formation from the pure elements (eV/atom): -0.56
V (Å³/atom): 17.52
DFT total energy (eV/atom): -5.9980

Structure (CIF):
```
data_Zr3Zn2Pd4
_space_group_name_H-M_alt 'P 1'
_space_group_IT_number 1
_space_group_name_Hall 'P 1'
_cell_length_a 4.6574
_cell_length_b 4.6672
_cell_length_c 8.4754
_cell_angle_alpha 97.87
_cell_angle_beta 90.00
_cell_angle_gamma 119.93
loop_
_atom_site_label
_atom_site_fract_x
_atom_site_fract_y
_atom_site_fract_z
Pd1 0.9795 0.9590 0.3304
Zr1 0.3430 0.6861 0.5943
Pd2 0.0205 0.0410 0.6696
Pd3 0.6823 0.3647 0.0807
Zn1 0.3097 0.6194 0.2386
Zr2 0.6570 0.3139 0.4057
Pd4 0.3177 0.6353 0.9193
Zr3 0.0000 0.0000 0.0000
Zn2 0.6903 0.3806 0.7614
```


Q: Which formula does entry 2 have?
A: Zr2ZnPd


Please write out number 3 again, unchanged.
Zr5ZnPd4: relaxed, GGA-PBE.

Values from the calculation:
Energy of formation from the pure elements (eV/atom): -0.52
V (Å³/atom): 18.81
DFT total energy (eV/atom): -7.0024

Structure (CIF):
```
data_Zr5ZnPd4
_space_group_name_H-M_alt 'P 1'
_space_group_IT_number 1
_space_group_name_Hall 'P 1'
_cell_length_a 3.4798
_cell_length_b 3.4798
_cell_length_c 15.5322
_cell_angle_alpha 90.00
_cell_angle_beta 90.00
_cell_angle_gamma 90.00
loop_
_atom_site_label
_atom_site_fract_x
_atom_site_fract_y
_atom_site_fract_z
Pd1 0.0000 0.0000 0.1991
Zr1 0.5000 0.5000 0.5000
Pd2 0.0000 0.0000 0.6011
Pd3 0.0000 0.0000 0.3989
Zr2 0.5000 0.5000 0.3020
Pd4 0.0000 0.0000 0.8009
Zr3 0.5000 0.5000 0.1004
Zn1 0.0000 0.0000 0.0000
Zr4 0.5000 0.5000 0.8996
Zr5 0.5000 0.5000 0.6980
```


Q: Among the records above, which one has the lowest DFT total energy?
A: Zr5ZnPd4